# Rb3LuV2O8

A relaxed Rb3LuV2O8 crystal (PBE with a Hubbard U, Alexandria).

Summary:
Space-group type ... P-3m1 (164)
Theoretical density ... 4.4 g cm⁻³
Density of states at the Fermi level ... 0.0000 states/eV per atom
Energy ... -94.71 eV for the cell shown
Spin magnetization ... 0.0 μB/f.u.

a b c (Å): 6.017 6.017 7.982
angles (deg): 90.00 90.00 120.00
Positions (direct):
Rb 0.000 0.000 0.000
Rb 0.333 0.667 0.707
Rb 0.667 0.333 0.293
Lu 0.000 0.000 0.500
V 0.333 0.667 0.265
V 0.667 0.333 0.735
O 0.173 0.346 0.338
O 0.173 0.827 0.338
O 0.333 0.667 0.054
O 0.346 0.173 0.662
O 0.654 0.827 0.338
O 0.667 0.333 0.946
O 0.827 0.173 0.662
O 0.827 0.654 0.662